(1)
A plane-wave DFT calculation with PBE was carried out for Ba2CaAgP after structural relaxation.

Cell lengths 6.2626, 6.2626, 5.4442 Å; angles 90.00, 90.00, 90.00 degrees
Sites, in units of the cell vectors:
1 Ba 0.0000 0.5000 0.0000
2 Ba 0.5000 0.0000 0.0000
3 Ca 0.0000 0.0000 0.5000
4 Ag 0.5000 0.5000 0.5000
5 P 0.0000 0.0000 0.0000

Properties
Space-group type ... No. 123

(2)
A plane-wave DFT calculation with PBE was carried out for Ba2CaAg3Pb4 after structural relaxation.

Cell lengths 4.8362, 4.8362, 13.3760 Å; angles 90.00, 90.00, 90.00 degrees
Sites, in units of the cell vectors:
1 Ba 0.0000 0.5000 0.2363
2 Ba 0.5000 0.0000 0.7637
3 Ca 0.0000 0.0000 0.5000
4 Ag 0.0000 0.5000 0.8646
5 Ag 0.5000 0.0000 0.1354
6 Ag 0.5000 0.5000 0.5000
7 Pb 0.0000 0.0000 0.0000
8 Pb 0.0000 0.5000 0.6509
9 Pb 0.5000 0.0000 0.3491
10 Pb 0.5000 0.5000 0.0000

Properties
Space-group type ... No. 115

(3)
A plane-wave DFT calculation with PBE was carried out for Ba2CaAgPd after structural relaxation.

Cell lengths 6.1655, 6.1655, 5.5442 Å; angles 90.00, 90.00, 90.00 degrees
Sites, in units of the cell vectors:
1 Ba 0.0000 0.5000 0.0000
2 Ba 0.5000 0.0000 0.0000
3 Ca 0.0000 0.0000 0.5000
4 Ag 0.5000 0.5000 0.5000
5 Pd 0.0000 0.0000 0.0000

Properties
Space-group type ... No. 123

(4)
A plane-wave DFT calculation with PBE was carried out for BaCa2AgPd after structural relaxation.

Cell lengths 5.5278, 5.5278, 6.1822 Å; angles 90.00, 90.00, 90.00 degrees
Sites, in units of the cell vectors:
1 Ba 0.0000 0.0000 0.0000
2 Ca 0.0000 0.5000 0.5000
3 Ca 0.5000 0.0000 0.5000
4 Ag 0.5000 0.5000 0.0000
5 Pd 0.0000 0.0000 0.5000

Properties
Space-group type ... No. 123

Total moment per entry: 0.00; 0.00; 0.00; 0.00 μB per cell
E per entry: -3.249; -3.240; -2.978; -3.012 eV/atom
Formation energy from the elements per entry: -0.427; -0.316; -0.200; -0.218 eV/atom